! PBE V2AgSnSe, optimized geometry; values from VASP
! E_form (uncorrected) = 1.17 eV/atom
&SYSTEM
  ibrav = 0, nat = 5, ntyp = 4
/
ATOMIC_SPECIES
Se 78.96 Se.upf
Sn 118.71 Sn.upf
Ag 107.87 Ag.upf
V 50.94 V.upf
ATOMIC_POSITIONS crystal
Se 0.000 0.500 0.000
Sn 0.500 0.500 0.500
Ag 0.000 0.000 0.000
V 0.000 0.000 0.500
V 0.500 0.000 0.000
CELL_PARAMETERS angstrom
-1.091 1.522 4.702
1.065 -4.519 1.710
4.821 1.389 0.668